[1]
Below is an optimized crystal structure of Ba2NaBiN, with properties calculated at the PBE level.

a b c (Å): 5.548 5.548 5.056
angles (deg): 90.00 90.00 90.00
Site moments in Bohr magnetons follow the coordinates.
Sites, in units of the cell vectors:
Na  0.000  0.000  0.500  0.00
N  0.000  0.000  0.000  0.47
Bi  0.500  0.500  0.500  0.04
Ba  0.000  0.500  0.000  0.01
Ba  0.500  0.000  0.000  0.01

DOS(E_F) = 4.90 states/eV per cell
symmetry = P4/mmm, No. 123
raw formation energy = -2.30 eV/f.u.

***

[2]
Below is an optimized crystal structure of Ba6Bi2NO, with properties calculated at the PBE level.

a b c (Å): 7.874 7.874 11.105
angles (deg): 90.00 90.00 90.00
Sites, in units of the cell vectors:
Ba  0.500  0.250  0.252
Ba  0.500  0.250  0.748
Ba  0.000  0.750  0.248
Ba  0.000  0.750  0.752
Ba  0.252  0.001  0.500
Ba  0.748  0.001  0.500
Ba  0.252  0.498  0.500
Ba  0.748  0.498  0.500
Ba  0.752  0.502  0.000
Ba  0.248  0.502  0.000
Ba  0.248  0.999  0.000
Ba  0.752  0.999  0.000
Bi  0.500  0.750  0.250
Bi  0.000  0.250  0.750
Bi  0.500  0.750  0.750
Bi  0.000  0.250  0.250
N  0.500  0.250  0.500
N  0.000  0.750  0.000
O  0.000  0.750  0.500
O  0.500  0.250  0.000

DOS(E_F) = 6.48 states/eV per cell
symmetry = I4/mmm, No. 139
raw formation energy = -11.12 eV/f.u.

***

[3]
Below is an optimized crystal structure of BaBiN2O, with properties calculated at the PBE level.

a b c (Å): 4.402 4.402 4.473
angles (deg): 90.00 90.00 90.00
Site moments in Bohr magnetons follow the coordinates.
Sites, in units of the cell vectors:
N  0.000  0.500  0.000  0.41
N  0.500  0.000  0.000  0.41
Bi  0.000  0.000  0.000  -0.03
O  0.000  0.000  0.500  0.06
Ba  0.500  0.500  0.500  0.00

DOS(E_F) = 3.49 states/eV per cell
symmetry = P4/mmm, No. 123
raw formation energy = -0.01 eV/f.u.

***

[4]
Below is an optimized crystal structure of BaBiN2O, with properties calculated at the PBE level.

a b c (Å): 4.648 4.648 4.452
angles (deg): 90.00 90.00 90.00
Site moments in Bohr magnetons follow the coordinates.
Sites, in units of the cell vectors:
N  0.000  0.500  0.000  0.08
N  0.500  0.000  0.000  0.08
Bi  0.500  0.500  0.500  -0.04
O  0.000  0.000  0.500  0.00
Ba  0.000  0.000  0.000  0.00

DOS(E_F) = 2.49 states/eV per cell
symmetry = P4/mmm, No. 123
raw formation energy = 6.40 eV/f.u.